VASP calculation (PBE) on a geometry-optimized Sc2Ge2Te structure.

The structure belongs to space group I4/mmm (No. 139); the cell edges are 3.787, 3.787 and 15.047 Å and the angles 90.00°, 90.00° and 90.00°. The inequivalent atoms are Sc at (0.000, 0.000, 0.110), Ge at (0.000, 0.500, 0.250) and Te at (0.000, 0.000, 0.500).

Its crystal system is tetragonal. As for the formation energy from raw total energies: -0.74 eV/atom. As for the total magnetic moment: 0.0 μB/cell. The calculation puts the excess energy over the best structure of this formula in the dataset at 0 meV per atom.

VASP calculation (PBE) on a geometry-optimized ZrZnCr2 structure.

The structure belongs to space group R3m (No. 160, hexagonal axes); the cell edges are 2.8649, 2.8649 and 26.5010 Å and the angles 90.00°, 90.00° and 120.00°. The inequivalent atoms are Zr at (0.0000, 0.0000, 0.0000), Zn at (0.0000, 0.0000, 0.2372), Cr at (0.0000, 0.0000, 0.4876) and Cr at (0.0000, 0.0000, 0.7629).

Its crystal system is trigonal. As for the total magnetic moment: 0.0 μB/cell.

VASP calculation (PBE) on a geometry-optimized Y2MnRu structure.

The structure belongs to space group P4/mmm (No. 123); the cell edges are 4.888, 4.888 and 3.501 Å and the angles 90.00°, 90.00° and 90.00°. The inequivalent atoms are Y at (0.000, 0.500, 0.000), Mn at (0.000, 0.000, 0.500) and Ru at (0.500, 0.500, 0.500).

Its crystal system is tetragonal. As for the total magnetic moment: 3.3 μB/cell.

VASP calculation (PBE) on a geometry-optimized Dy8Sn2Hg structure.

The structure belongs to space group C2/m (No. 12); the cell edges are 19.370, 5.068 and 6.787 Å and the angles 90.00°, 103.90° and 90.00°. The inequivalent atoms are Dy at (0.020, 0.000, 0.271), Dy at (0.093, 0.500, 0.977), Dy at (0.156, 0.500, 0.500), Dy at (0.216, 0.000, 0.823), Sn at (0.182, 0.000, 0.259) and Hg at (0.000, 0.500, 0.500).

Its crystal system is monoclinic. As for the total magnetic moment: 0.0 μB/cell.

VASP calculation (PBE) on a geometry-optimized AcSnH6Rh2 structure.

The structure belongs to space group C2/c (No. 15); the cell edges are 7.760, 12.403 and 4.744 Å and the angles 90.00°, 95.93° and 90.00°. The inequivalent atoms are Ac at (0.000, 0.165, 0.250), Sn at (0.000, 0.387, 0.750), H at (0.141, 0.166, 0.793), H at (0.179, 0.002, 0.490), H at (0.182, 0.322, 0.460) and Rh at (0.204, 0.422, 0.238).

Its crystal system is monoclinic. As for the total magnetic moment: 0.0 μB/cell.

VASP calculation (PBE) on a geometry-optimized Ta3BiPt structure.

The structure belongs to space group Pm-3m (No. 221); the cell edges are 4.947, 4.947 and 4.947 Å and the angles 90.00°, 90.00° and 90.00°. The inequivalent atoms are Ta at (0.000, 0.000, 0.500), Bi at (0.500, 0.500, 0.500) and Pt at (0.000, 0.000, 0.000).

Its crystal system is cubic. As for the total magnetic moment: 0.0 μB/cell. The calculation puts the excess energy over the best structure of this formula in the dataset at 0 meV per atom.

VASP calculation (PBE) on a geometry-optimized SiNiAg structure.

The structure belongs to space group Imm2 (No. 44); the cell edges are 3.004, 3.016 and 9.312 Å and the angles 90.00°, 90.00° and 90.00°. The inequivalent atoms are Si at (0.000, 0.000, 0.000), Ni at (0.000, 0.000, 0.601) and Ag at (0.000, 0.000, 0.301).

Its crystal system is orthorhombic. As for the formation energy from raw total energies: -0.05 eV/atom. As for the total magnetic moment: 0.0 μB/cell. The calculation puts the excess energy over the best structure of this formula in the dataset at 0 meV per atom.

VASP calculation (PBE) on a geometry-optimized MnPdSe2N structure.

The structure belongs to space group P4/mmm (No. 123); the cell edges are 5.170, 5.170 and 3.701 Å and the angles 90.00°, 90.00° and 90.00°. The inequivalent atoms are Mn at (0.000, 0.000, 0.000), Pd at (0.500, 0.500, 0.500), Se at (0.000, 0.500, 0.500) and N at (0.500, 0.500, 0.000).

Its crystal system is tetragonal. As for the formation energy from raw total energies: 0.73 eV/atom. As for the total magnetic moment: 5.2 μB/cell. The calculation puts the excess energy over the best structure of this formula in the dataset at 481 meV per atom.

VASP calculation (PBE) on a geometry-optimized HfIrPt structure.

The structure belongs to space group C2/m (No. 12); the cell edges are 5.675, 5.652 and 6.638 Å and the angles 90.00°, 104.27° and 90.00°. The inequivalent atoms are Hf at (0.099, 0.000, 0.298), Ir at (0.250, 0.250, 0.000) and Pt at (0.102, 0.500, 0.312).

Its crystal system is monoclinic. As for the total magnetic moment: 0.0 μB/cell. The calculation puts the excess energy over the best structure of this formula in the dataset at 46 meV per atom.

VASP calculation (PBE) on a geometry-optimized MgCoRe structure.

The structure belongs to space group P1 (No. 1); the cell edges are 2.664, 4.781 and 6.642 Å and the angles 85.07°, 89.82° and 89.87°. The inequivalent atoms are Mg at (0.000, 0.000, 0.000), Mg at (0.500, 0.233, 0.640), Co at (0.497, 0.019, 0.323), Co at (0.500, 0.517, 0.952), Re at (0.000, 0.728, 0.618) and Re at (0.997, 0.497, 0.281).

Its crystal system is triclinic. As for the total magnetic moment: 0.0 μB/cell. The calculation puts the excess energy over the best structure of this formula in the dataset at 150 meV per atom.

VASP calculation (PBE) on a geometry-optimized TbInCl6 structure.

The structure belongs to space group C2/m (No. 12); the cell edges are 6.494, 12.579 and 6.489 Å and the angles 90.00°, 106.94° and 90.00°. The inequivalent atoms are Tb at (0.000, 0.000, 0.000), In at (0.000, 0.500, 0.500), Cl at (0.236, 0.359, 0.738) and Cl at (0.249, 0.500, 0.254).

Its crystal system is monoclinic. As for the formation energy from raw total energies: -1.63 eV/atom. As for the total magnetic moment: 0.0 μB/cell.

VASP calculation (PBE) on a geometry-optimized Ac2Tb4Pr3 structure.

The structure belongs to space group P3m1 (No. 156); the cell edges are 3.7238, 3.7238 and 27.4536 Å and the angles 90.00°, 90.00° and 120.00°. The inequivalent atoms are Ac at (0.0000, 0.0000, 0.0000), Ac at (0.0000, 0.0000, 0.2332), Tb at (0.0000, 0.0000, 0.3622), Tb at (0.0000, 0.0000, 0.5746), Tb at (0.3333, 0.6667, 0.6754), Tb at (0.3333, 0.6667, 0.8889), Pr at (0.0000, 0.0000, 0.7828), Pr at (0.3333, 0.6667, 0.1192) and Pr at (0.3333, 0.6667, 0.4658).

Its crystal system is trigonal. As for the total magnetic moment: 0.0 μB/cell. The calculation puts the excess energy over the best structure of this formula in the dataset at 47 meV per atom.

VASP calculation (PBE) on a geometry-optimized Ce8GeSb5 structure.

The structure belongs to space group I-4 (No. 82); the cell edges are 9.384, 9.384 and 9.370 Å and the angles 90.00°, 90.00° and 90.00°. The inequivalent atoms are Ce at (0.071, 0.174, 0.294), Ce at (0.074, 0.311, 0.953), Ge at (0.000, 0.000, 0.000), Sb at (0.000, 0.500, 0.250) and Sb at (0.120, 0.253, 0.622).

Its crystal system is tetragonal. As for the formation energy from raw total energies: -0.88 eV/atom. As for the total magnetic moment: 20.8 μB/cell.

VASP calculation (PBE) on a geometry-optimized PrSm7Y3 structure.

The structure belongs to space group P-1 (No. 2); the cell edges are 6.588, 6.764 and 8.759 Å and the angles 99.70°, 98.97° and 95.70°. The inequivalent atoms are Pr at (0.000, 0.000, 0.000), Sm at (0.000, 0.500, 0.000), Sm at (0.055, 0.210, 0.641), Sm at (0.220, 0.722, 0.711), Sm at (0.484, 0.239, 0.915), Y at (0.310, 0.433, 0.337) and Y at (0.500, 0.000, 0.500).

Its crystal system is triclinic. As for the total magnetic moment: 0.0 μB/cell. The calculation puts the excess energy over the best structure of this formula in the dataset at 0 meV per atom.

VASP calculation (PBE) on a geometry-optimized NdTm5Tl5 structure.

The structure belongs to space group C2/m (No. 12); the cell edges are 15.738, 5.953 and 7.166 Å and the angles 90.00°, 99.00° and 90.00°. The inequivalent atoms are Nd at (0.000, 0.000, 0.000), Tm at (0.000, 0.000, 0.500), Tm at (0.129, 0.500, 0.404), Tm at (0.178, 0.500, 0.912), Tl at (0.000, 0.500, 0.000), Tl at (0.173, 0.000, 0.302) and Tl at (0.177, 0.000, 0.740).

Its crystal system is monoclinic. As for the total magnetic moment: 0.0 μB/cell.

VASP calculation (PBE) on a geometry-optimized Sm2AlCu2 structure.

The structure belongs to space group C2/c (No. 15); the cell edges are 9.739, 5.643 and 7.928 Å and the angles 90.00°, 103.98° and 90.00°. The inequivalent atoms are Sm at (0.150, 0.141, 0.152), Al at (0.000, 0.353, 0.750) and Cu at (0.134, 0.365, 0.499).

Its crystal system is monoclinic. As for the total magnetic moment: 0.0 μB/cell.

VASP calculation (PBE) on a geometry-optimized BaNaNiB2 structure.

The structure belongs to space group P4/mmm (No. 123); the cell edges are 5.206, 5.206 and 5.223 Å and the angles 90.00°, 90.00° and 90.00°. The inequivalent atoms are Ba at (0.000, 0.000, 0.000), Na at (0.500, 0.500, 0.500), Ni at (0.000, 0.000, 0.500) and B at (0.000, 0.500, 0.000).

Its crystal system is tetragonal. As for the total magnetic moment: 0.0 μB/cell.

VASP calculation (PBE) on a geometry-optimized Mn2CoHg structure.

The structure belongs to space group P4mm (No. 99); the cell edges are 2.973, 2.973 and 6.471 Å and the angles 90.00°, 90.00° and 90.00°. The inequivalent atoms are Mn at (0.000, 0.000, 0.000), Mn at (0.500, 0.500, 0.230), Co at (0.000, 0.000, 0.412) and Hg at (0.500, 0.500, 0.700).

Its crystal system is tetragonal. As for the total magnetic moment: 6.6 μB/cell.

VASP calculation (PBE) on a geometry-optimized ScCo2PdC structure.

The structure belongs to space group P4/mmm (No. 123); the cell edges are 3.813, 3.813 and 4.269 Å and the angles 90.00°, 90.00° and 90.00°. The inequivalent atoms are Sc at (0.000, 0.000, 0.000), Co at (0.000, 0.500, 0.500), Pd at (0.500, 0.500, 0.000) and C at (0.500, 0.500, 0.500).

Its crystal system is tetragonal. As for the total magnetic moment: 0.0 μB/cell. The calculation puts the excess energy over the best structure of this formula in the dataset at 31 meV per atom.

VASP calculation (PBE) on a geometry-optimized LaIn2Sb2 structure.

The structure belongs to space group Cmcm (No. 63); the cell edges are 4.484, 29.591 and 4.455 Å and the angles 90.00°, 90.00° and 90.00°. The inequivalent atoms are La at (0.000, 0.164, 0.250), In at (0.000, 0.052, 0.750), In at (0.000, 0.453, 0.750), Sb at (0.000, 0.250, 0.750) and Sb at (0.000, 0.368, 0.250).

Its crystal system is orthorhombic. As for the formation energy from raw total energies: -0.52 eV/atom. As for the total magnetic moment: 0.0 μB/cell.

no.,total DFT energy (no corrections) (eV/atom)
1,-5.75
2,-6.95
3,-7.90
4,-4.44
5,-4.67
6,-8.08
7,-4.74
8,-5.20
9,-9.17
10,-6.84
11,-3.94
12,-4.48
13,-6.07
14,-5.08
15,-3.61
16,-4.59
17,-2.33
18,-6.13
19,-7.21
20,-4.25